Here is a relaxed structure of Pr4Y4Tm from Alexandria via LeMat-Bulk. Energies are from PBE.

Spin magnetization ... 0.00 μB per cell
D(E_F) ... 14.9 states/eV/f.u.
Final energy ... -0.201 Ha/atom
Mass density ... 5.9 Mg/m³
Polymorph energy (0 for the lowest one) ... 5 meV/atom
Space-group type ... I4/mmm

Structure (POSCAR):
```
Pr4Y4Tm
1.0
5.133 0.000 0.000
2.567 7.698 0.000
2.567 0.000 7.698
Y Tm Pr
4 1 4
Cartesian
5.133 5.156 0.000 Y
2.567 0.000 2.542 Y
5.133 2.542 7.698 Y
7.700 7.698 5.156 Y
0.000 0.000 0.000 Tm
5.133 5.151 5.150 Pr
5.133 2.546 2.548 Pr
7.700 2.548 5.151 Pr
2.567 5.150 2.546 Pr
```



Here is a relaxed structure of Ba6AsPt2I2 from Alexandria via LeMat-Bulk. Energies are from PBE.

Spin magnetization ... 0.10 μB per cell
D(E_F) ... 7.4 states/eV/f.u.
Formation energy (no corrections) ... -11.561 eV per formula unit
Final energy ... -0.143 Ha/atom
Mass density ... 5.2 Mg/m³
Space-group type ... C2/m

Structure (POSCAR):
```
Ba6AsPt2I2
1.0
8.192 0.013 0.104
-4.038 7.128 0.104
-1.452 -2.497 8.343
Ba I Pt As
6 2 2 1
Cartesian
-2.099 1.135 5.925 Ba
2.024 -1.263 5.925 Ba
2.004 3.444 5.978 Ba
4.801 3.510 2.627 Ba
0.678 5.908 2.627 Ba
0.698 1.201 2.574 Ba
6.215 1.164 0.104 I
-2.060 5.978 0.104 I
-0.719 3.526 4.276 Pt
3.421 1.118 4.276 Pt
-0.726 -1.248 4.172 As
```